LiMgTe2 | PBE-GGA | relaxed

Cell lengths 6.766, 6.766, 7.368 Å; angles 62.67, 62.67, 90.00 degrees
Sites, in units of the cell vectors:
1 Te 0.875 0.867 0.750
2 Te 0.617 0.125 0.250
3 Te 0.133 0.625 0.250
4 Te 0.375 0.383 0.750
5 Mg 0.000 0.000 0.000
6 Mg 0.750 0.250 0.500
7 Li 0.250 0.750 0.500
8 Li 0.500 0.500 0.000

Results
- E_tot: -24.1 eV per cell
- Space-group type: I-42d
- ΔE_f (raw): -0.56 eV/atom